1.
A plane-wave DFT calculation with PBE was carried out for a relaxed KHg6Pb crystal.

Cell: 5.3102 6.7610 6.7610 Å, 110.80 90.00 90.00°
Closest atoms and distances in Å follow each position.
Atoms (fractional coordinates):
K: 0.5000 0.3790 0.6210  10 Hg 3.36-3.48
Hg: 0.0000 0.0550 0.3671  7 Hg 3.24-3.46, 2 Pb 3.32-3.50, 2 K 3.48
Hg: 0.0000 0.6329 0.9450  7 Hg 3.24-3.46, 2 Pb 3.32-3.50, 2 K 3.48
Hg: 0.0000 0.5697 0.4303  8 Hg 3.24-3.46, 2 K 3.40
Hg: 0.5000 0.4439 0.1378  7 Hg 3.21-3.52, 2 K 3.36-3.45, 2 Pb 3.49
Hg: 0.5000 0.8622 0.5561  7 Hg 3.21-3.52, 2 K 3.36-3.45, 2 Pb 3.49
Hg: 0.5000 0.9344 0.0656  8 Hg 3.27-3.52, 2 Pb 3.38
Pb: 0.0000 0.1226 0.8774  10 Hg 3.32-3.50

Results
Density of states at the Fermi level = 0.31 states/eV per atom
ΔH_f (0 K) = -0.092 eV per atom
SG = Amm2
E = -0.0676 Ry per atom

***

2.
A plane-wave DFT calculation with PBE was carried out for a relaxed VH2N2 crystal.

Cell: 3.3157 3.3157 3.6522 Å, 63.00 63.00 90.00°
Closest atoms and distances in Å follow each position.
Atoms (fractional coordinates):
H: 0.4304 0.4304 0.1391  1 H 0.78
H: 0.5696 0.5696 0.8609  1 H 0.78
V: 0.0000 0.0000 0.0000  8 N 2.17, 10 H 2.38-2.41
N: 0.7500 0.2500 0.5000  4 H 1.94, 4 V 2.17
N: 0.2500 0.7500 0.5000  4 H 1.94, 4 V 2.17

Results
Density of states at the Fermi level = 0.29 states/eV per atom
Offset from the most stable computed form = 0.0 meV/atom
SG = I4/mmm
E = -0.4255 Ry per atom

***

3.
A plane-wave DFT calculation with PBE was carried out for a relaxed Nb5NiMo4 crystal.

Cell: 3.2408 3.2408 15.7791 Å, 90.00 90.00 90.00°
Closest atoms and distances in Å follow each position.
Atoms (fractional coordinates):
Nb: 0.5000 0.5000 0.0940  4 Ni 2.73, 4 Mo 2.76, 1 Nb 2.97
Nb: 0.5000 0.5000 0.2945  8 Mo 2.81
Nb: 0.5000 0.5000 0.5000  8 Mo 2.80
Nb: 0.5000 0.5000 0.7055  8 Mo 2.81
Nb: 0.5000 0.5000 0.9060  4 Ni 2.73, 4 Mo 2.76, 1 Nb 2.97
Ni: 0.0000 0.0000 0.0000  8 Nb 2.73, 2 Mo 3.03
Mo: 0.0000 0.0000 0.1918  8 Nb 2.76-2.81, 1 Ni 3.03
Mo: 0.0000 0.0000 0.3978  8 Nb 2.80-2.81
Mo: 0.0000 0.0000 0.6022  8 Nb 2.80-2.81
Mo: 0.0000 0.0000 0.8082  8 Nb 2.76-2.81, 1 Ni 3.03

Results
Density of states at the Fermi level = 0.99 states/eV per atom
ΔH_f (0 K) = -0.112 eV per atom
SG = P4/mmm
E = -0.7392 Ry per atom

***

4.
A plane-wave DFT calculation with PBE was carried out for a relaxed LiZnSiPd2 crystal.

Cell: 4.5842 4.5551 4.5842 Å, 90.00 90.00 90.00°
Closest atoms and distances in Å follow each position.
Atoms (fractional coordinates):
Zn: 0.0000 0.5000 0.0000  2 Si 2.28
Si: 0.0000 0.0000 0.0000  2 Zn 2.28, 4 Pd 2.29
Pd: 0.0000 0.0000 0.5000  2 Si 2.29
Pd: 0.5000 0.0000 0.0000  2 Si 2.29
Li: 0.5000 0.5000 0.5000  8 Pd 3.23, 4 Zn 3.24

Results
Density of states at the Fermi level = 0.46 states/eV per atom
Energy relative to the elements, uncorrected = -87 meV/atom
SG = P4/mmm
E = -0.2856 Ry per atom

***

5.
A plane-wave DFT calculation with PBE was carried out for a relaxed SmHgS2 crystal.

Cell: 4.1275 4.1275 7.3793 Å, 73.76 73.76 60.00°
Closest atoms and distances in Å follow each position.
Atoms (fractional coordinates):
Sm: 0.6656 0.6656 0.0033  6 S 2.79-2.84
Hg: 0.4988 0.4988 0.5036  6 S 3.08-3.14
S: 0.0723 0.0723 0.7831  3 Sm 2.84, 3 Hg 3.08
S: 0.2633 0.2633 0.2100  3 Sm 2.79

Results
Density of states at the Fermi level = 0.81 states/eV per atom
Offset from the most stable computed form = 34.4 meV/atom
Energy relative to the elements, uncorrected = -1090 meV/atom
SG = R3m
E = -0.3241 Ry per atom

***

6.
A plane-wave DFT calculation with PBE was carried out for a relaxed Ac2RuO crystal.

Cell: 3.4819 3.4819 7.2867 Å, 90.00 90.00 90.00°
Closest atoms and distances in Å follow each position.
Atoms (fractional coordinates):
Ru: 0.5000 0.5000 0.0000  8 Ac 3.12, 4 Ru 3.48
Ac: 0.0000 0.0000 0.7362  4 O 3.00, 4 Ru 3.12
Ac: 0.0000 0.0000 0.2638  4 O 3.00, 4 Ru 3.12
O: 0.5000 0.5000 0.5000  8 Ac 3.00

Results
Density of states at the Fermi level = 0.26 states/eV per atom
Offset from the most stable computed form = 161.7 meV/atom
Energy relative to the elements, uncorrected = -934 meV/atom
SG = P4/mmm
E = -0.4812 Ry per atom

***

7.
A plane-wave DFT calculation with PBE was carried out for a relaxed La5Sc crystal.

Cell: 5.1514 5.1592 8.1739 Å, 108.40 90.00 90.00°
Closest atoms and distances in Å follow each position.
Atoms (fractional coordinates):
Sc: 0.0000 0.0000 0.0000  12 La 3.62-3.65
La: 0.0000 0.6642 0.3285  10 La 3.62-3.71, 2 Sc 3.63
La: 0.0000 0.3358 0.6715  10 La 3.62-3.71, 2 Sc 3.63
La: 0.5000 0.5000 0.0000  8 La 3.62, 4 Sc 3.65
La: 0.5000 0.1636 0.3272  2 Sc 3.62, 10 La 3.62-3.72
La: 0.5000 0.8364 0.6728  2 Sc 3.62, 10 La 3.62-3.72

Results
Density of states at the Fermi level = 1.87 states/eV per atom
Offset from the most stable computed form = 0.0 meV/atom
ΔH_f (0 K) = 0.037 eV per atom
SG = Cmmm
E = -0.3766 Ry per atom

***

8.
A plane-wave DFT calculation with PBE was carried out for a relaxed TbCeLuZn crystal.

Cell: 5.3029 5.3029 5.3029 Å, 60.00 60.00 60.00°
Closest atoms and distances in Å follow each position.
Atoms (fractional coordinates):
Zn: 0.0000 0.0000 0.0000  4 Tb 3.25, 4 Ce 3.25
Lu: 0.5000 0.5000 0.5000  4 Ce 3.25, 4 Tb 3.25
Tb: 0.7500 0.7500 0.7500  4 Lu 3.25, 4 Zn 3.25
Ce: 0.2500 0.2500 0.2500  4 Zn 3.25, 4 Lu 3.25

Results
Density of states at the Fermi level = 1.65 states/eV per atom
ΔH_f (0 K) = 0.043 eV per atom
SG = F-43m
E = -0.2974 Ry per atom

***

9.
A plane-wave DFT calculation with PBE was carried out for a relaxed K3Zr crystal.

Cell: 3.4721 6.6746 8.1815 Å, 90.00 90.00 90.00°
Closest atoms and distances in Å follow each position.
Atoms (fractional coordinates):
K: 0.5000 0.5000 0.7775  3 K 3.47-3.64
K: 0.0000 0.0000 0.5000  2 K 3.47
K: 0.5000 0.5000 0.2225  3 K 3.47-3.64
Zr: 0.0000 0.0000 0.0000  2 Zr 3.47

Results
Density of states at the Fermi level = 1.18 states/eV per atom
Offset from the most stable computed form = 257.4 meV/atom
ΔH_f (0 K) = 0.818 eV per atom
SG = Pmmm
E = -0.1575 Ry per atom

***

10.
A plane-wave DFT calculation with PBE was carried out for a relaxed CaSiIr crystal.

Cell: 4.5351 4.5351 4.5351 Å, 60.00 60.00 60.00°
Closest atoms and distances in Å follow each position.
Atoms (fractional coordinates):
Ca: 0.2500 0.2500 0.2500  4 Ir 2.78, 4 Si 2.78
Ir: 0.0000 0.0000 0.0000  4 Ca 2.78
Si: 0.5000 0.5000 0.5000  4 Ca 2.78

Results
Density of states at the Fermi level = 0.58 states/eV per atom
Energy relative to the elements, uncorrected = 776 meV/atom
SG = F-43m
E = -0.3419 Ry per atom

***

11.
A plane-wave DFT calculation with PBE was carried out for a relaxed Sr2TcIr crystal.

Cell: 3.4655 3.4655 8.3185 Å, 90.00 90.00 90.00°
Closest atoms and distances in Å follow each position.
Atoms (fractional coordinates):
Ir: 0.5000 0.5000 0.7500  8 Sr 3.08
Sr: 0.0000 0.0000 0.9747  4 Ir 3.08, 4 Tc 3.35
Sr: 0.0000 0.0000 0.5253  4 Ir 3.08, 4 Tc 3.35
Tc: 0.5000 0.5000 0.2500  8 Sr 3.35, 4 Tc 3.47

Results
Density of states at the Fermi level = 1.00 states/eV per atom
Offset from the most stable computed form = 579.0 meV/atom
ΔH_f (0 K) = 0.732 eV per atom
SG = P4/mmm
E = -0.3613 Ry per atom

***

12.
A plane-wave DFT calculation with PBE was carried out for a relaxed MgSc3Nb crystal.

Cell: 5.1506 5.1506 5.1506 Å, 90.00 90.00 90.00°
Closest atoms and distances in Å follow each position.
Atoms (fractional coordinates):
Sc: 0.0000 0.5000 0.0000  2 Nb 2.58
Sc: 0.0000 0.0000 0.5000  2 Nb 2.58
Sc: 0.5000 0.0000 0.0000  2 Nb 2.58
Nb: 0.0000 0.0000 0.0000  6 Sc 2.58
Mg: 0.5000 0.5000 0.5000  12 Sc 3.64

Results
Density of states at the Fermi level = 1.20 states/eV per atom
Offset from the most stable computed form = 0.0 meV/atom
ΔH_f (0 K) = 0.574 eV per atom
SG = Pm-3m
E = -0.4085 Ry per atom